# 1
Here is a geometry-optimized InRuAu2 structure from Alexandria. Energies are from PBE-GGA.

Results
Total DFT energy (no corrections) (eV/atom): -4.443
Crystal system: tetragonal

Cell lengths 4.1527, 4.1527, 8.2213 Å; angles 90.00, 90.00, 90.00 degrees
With the nearest neighbours (Å) after each atom.
Space group I4/mmm (No. 139)
One atom of each set of equivalent atoms:
In  0.0000  0.0000  0.0000 x2  8 Au 2.92, 4 Ru 2.94
Ru  0.0000  0.0000  0.5000 x2  8 Au 2.92, 4 In 2.94
Au  0.0000  0.5000  0.2500 x4  4 In 2.92, 4 Ru 2.92, 4 Au 2.94


# 2
Here is a geometry-optimized YThTlPd structure from Alexandria. Energies are from PBE-GGA.

Results
Total DFT energy (no corrections) (eV/atom): -5.751
Crystal system: cubic

Cell lengths 7.4661, 7.4661, 7.4661 Å; angles 90.00, 90.00, 90.00 degrees
With the nearest neighbours (Å) after each atom.
Space group F-43m (No. 216)
One atom of each set of equivalent atoms:
Y  0.0000  0.0000  0.0000 x4  4 Tl 3.23, 4 Pd 3.23
Th  0.0000  0.0000  0.5000 x4  4 Pd 3.23, 4 Tl 3.23
Tl  0.2500  0.2500  0.2500 x4  4 Th 3.23, 4 Y 3.23
Pd  0.2500  0.2500  0.7500 x4  4 Th 3.23, 4 Y 3.23


# 3
Here is a geometry-optimized MgAl2Sb structure from Alexandria. Energies are from PBE-GGA.

Results
Formation energy (no corrections) (eV per atom): 0.158
Crystal system: tetragonal

Cell lengths 3.3043, 3.3043, 7.8682 Å; angles 90.00, 90.00, 90.00 degrees
With the nearest neighbours (Å) after each atom.
Space group P4/mmm (No. 123)
One atom of each set of equivalent atoms:
Mg  0.0000  0.0000  0.0000 x1  8 Al 3.02, 4 Mg 3.30
Al  0.5000  0.5000  0.2423 x2  4 Mg 3.02, 4 Sb 3.09, 4 Al 3.30
Sb  0.0000  0.0000  0.5000 x1  8 Al 3.09, 4 Sb 3.30


# 4
Here is a geometry-optimized Ga5Bi3O12 structure from Alexandria. Energies are from PBE-GGA.

Results
Formation energy (no corrections) (eV per atom): -1.630
Crystal system: cubic

Cell lengths 12.6711, 12.6711, 12.6711 Å; angles 90.00, 90.00, 90.00 degrees
With the nearest neighbours (Å) after each atom.
Space group Ia-3d (No. 230)
One atom of each set of equivalent atoms:
Ga  0.0000  0.0000  0.0000 x16  6 O 2.03
Ga  0.0000  0.2500  0.3750 x24  4 O 1.88
Bi  0.0000  0.2500  0.1250 x24  8 O 2.44-2.56
O  0.0305  0.0520  0.6483 x96  2 Ga 1.88-2.03